1.
NaTcOs, relaxed, DFT PBE; theoretical density = 9.8 Mg/m³; excess energy over the best structure of this formula in the dataset = 1.303 eV/atom
1.0
-3.626 0.152 2.144
-3.665 -0.517 -2.017
-2.251 -3.515 0.586
Tc Na Os
1 1 1
Cartesian
-7.156 -2.910 0.535
0.000 0.000 0.000
-2.385 -0.970 0.178

***

2.
NaTcOs, relaxed, DFT PBE; theoretical density = 9.6 Mg/m³; excess energy over the best structure of this formula in the dataset = 0.000 eV/atom
1.0
-3.437 0.256 2.459
-3.153 2.628 -1.036
-3.695 -1.559 -1.357
Tc Os Na
1 1 1
Cartesian
-7.714 0.994 0.050
0.000 0.000 0.000
-2.571 0.331 0.017